LaAsCl2 | GGA-PBEsol | relaxed

Formation energy from raw total energies   -1.448 eV/atom
Electronic total energy   -5.0650 eV/atom

a b c (Å): 5.329 5.329 4.739
angles (deg): 95.97 95.97 45.40
Atoms (fractional coordinates):
La (0.000, 0.000, 0.000)
As (0.500, 0.500, 0.500)
Cl (0.299, 0.299, 0.778)
Cl (0.701, 0.701, 0.222)